# BeSiW2 PBE relaxed
# formation energy from raw total energies: 15 meV per atom
# crystal system: tetragonal
# spin magnetization: 0.0 μB/cell
# E_tot: -8.749 eV/atom
data_BeSiW2
_cell_length_a 3.1842
_cell_length_b 3.1842
_cell_length_c 5.4229
_cell_angle_alpha 90.00
_cell_angle_beta 90.00
_cell_angle_gamma 90.00
_symmetry_space_group_name_H-M 'P 4 m m'
_symmetry_Int_Tables_number 99
loop_
_symmetry_equiv_pos_as_xyz
'x,y,z'
'-y,x,z'
'-x,-y,z'
'y,-x,z'
'-x,y,z'
'y,x,z'
'x,-y,z'
'-y,-x,z'
loop_
_atom_site_label
_atom_site_type_symbol
_atom_site_fract_x
_atom_site_fract_y
_atom_site_fract_z
Be1 Be 0.0000 0.0000 0.0000
Si1 Si 0.5000 0.5000 0.2309
W1 W 0.0000 0.0000 0.4987
W2 W 0.5000 0.5000 0.7633